# 1
Below is K2NaVH6 after structural relaxation, with properties calculated at the PBE level.

Values from the calculation:
**E_tot**: -3.404 eV/atom

abc: 5.800 8.203 5.801
angles: 90.00 90.00 90.00
Space group Pmmn (No. 59, origin choice 2)
Inequivalent atoms, fractional coordinates:
K: 0.250 0.000 0.250 x4
Na: 0.250 0.250 0.749 x2
V: 0.250 0.750 0.750 x2
H: 0.029 0.750 0.530 x4
H: 0.030 0.750 0.971 x4
H: 0.250 0.530 0.749 x4


# 2
Below is K2NaZnH5 after structural relaxation, with properties calculated at the PBE level.

Values from the calculation:
**E_tot**: -2.578 eV/atom

abc: 7.431 7.431 10.566
angles: 90.00 90.00 90.00
Space group I4/mcm (No. 140)
Inequivalent atoms, fractional coordinates:
K: 0.182 0.318 0.000 x8
Na: 0.000 0.000 0.250 x4
Zn: 0.000 0.500 0.250 x4
H: 0.000 0.000 0.000 x4
H: 0.128 0.372 0.340 x16


# 3
Below is K3NaZn2H8 after structural relaxation, with properties calculated at the PBE level.

Values from the calculation:
**E_tot**: -2.658 eV/atom

abc: 5.7732 5.7732 7.5187
angles: 90.00 90.00 120.00
Space group P-3m1 (No. 164)
Inequivalent atoms, fractional coordinates:
K: 0.0000 0.0000 0.0000 x1
K: 0.3333 0.6667 0.6741 x2
Na: 0.0000 0.0000 0.5000 x1
Zn: 0.3333 0.6667 0.2294 x2
H: 0.1787 0.3574 0.3149 x6
H: 0.3333 0.6667 0.0147 x2


# 4
Below is K2NaZnH after structural relaxation, with properties calculated at the PBE level.

Values from the calculation:
**E_tot**: -1.544 eV/atom

abc: 5.562 5.562 4.908
angles: 90.00 90.00 90.00
Space group P4/mmm (No. 123)
Inequivalent atoms, fractional coordinates:
K: 0.000 0.500 0.000 x2
Na: 0.000 0.000 0.500 x1
Zn: 0.500 0.500 0.500 x1
H: 0.000 0.000 0.000 x1


# 5
Below is KNaZnH4 after structural relaxation, with properties calculated at the PBE level.

Values from the calculation:
**E_tot**: -2.651 eV/atom

abc: 5.023 5.511 7.476
angles: 90.00 102.75 90.00
Space group P2_1/m (No. 11)
Inequivalent atoms, fractional coordinates:
K: 0.219 0.250 0.115 x2
Na: 0.203 0.750 0.507 x2
Zn: 0.369 0.250 0.710 x2
H: 0.230 0.003 0.774 x4
H: 0.295 0.250 0.481 x2
H: 0.299 0.750 0.211 x2


# 6
Below is K3Na3ZnH8 after structural relaxation, with properties calculated at the PBE level.

Values from the calculation:
**E_tot**: -2.460 eV/atom

abc: 6.8618 6.8618 18.0986
angles: 90.00 90.00 120.00
Space group R-3m (No. 166, hexagonal axes)
Inequivalent atoms, fractional coordinates:
K: 0.0000 0.5000 0.0000 x9
Na: 0.0000 0.5000 0.5000 x9
Zn: 0.0000 0.0000 0.5000 x3
H: 0.0000 0.0000 0.2361 x6
H: 0.0624 0.5312 0.2266 x18


Q: What is the formula in the second record?
A: K2NaZnH5


Copy entry 2 word for word.
Below is K2NaZnH5 after structural relaxation, with properties calculated at the PBE level.

Values from the calculation:
**E_tot**: -2.578 eV/atom

abc: 7.431 7.431 10.566
angles: 90.00 90.00 90.00
Space group I4/mcm (No. 140)
Inequivalent atoms, fractional coordinates:
K: 0.182 0.318 0.000 x8
Na: 0.000 0.000 0.250 x4
Zn: 0.000 0.500 0.250 x4
H: 0.000 0.000 0.000 x4
H: 0.128 0.372 0.340 x16


Q: Among the records above, which one has the highest E_tot?
A: K2NaZnH